First-principles (GGA-PBE) data for a geometry-optimized TaCdSi2 structure, as listed in Alexandria.

Calculated values
The value obtained for the uncorrected formation energy is 0.272 eV per atom. Its space group is R3m (160).

Unit cell a=8.8548 b=8.8548 c=8.8548 alpha=19.70 beta=19.70 gamma=19.70
Last column: nearest neighbours and their distance in Å.
Sites, in units of the cell vectors:
Cd 0.7455 0.7455 0.7455  3 Si 2.88, 6 Cd 3.03, 3 Ta 3.06
Si 0.9909 0.9909 0.9909  3 Si 2.51
Si 0.2550 0.2550 0.2550  3 Si 2.51, 3 Ta 2.71
Ta 0.5086 0.5086 0.5086  3 Si 2.71, 6 Ta 3.03